Version i
The following is a DFT calculation (PBE) of a relaxed Tb3Hf crystal.

Lattice parameters (Å, degrees): 4.8566 4.8566 4.8566 90.00 90.00 90.00
Last column: nearest neighbours and their distance in Å.
Fractional coordinates of all 4 atoms:
Tb 0.0000 0.0000 0.5000  4 Hf 3.43, 8 Tb 3.43
Tb 0.0000 0.5000 0.0000  4 Hf 3.43, 8 Tb 3.43
Tb 0.5000 0.0000 0.0000  4 Hf 3.43, 8 Tb 3.43
Hf 0.5000 0.5000 0.5000  12 Tb 3.43

Results
Its total moment is 0.00 μB/f.u. Its space group is No. 221. The density of states at the Fermi level comes out at 4.34 states/eV/cell.


Version ii
The following is a DFT calculation (PBE) of a relaxed Tb3Hf crystal.

Lattice parameters (Å, degrees): 6.5197 6.5197 6.5197 148.98 65.16 124.27
Last column: nearest neighbours and their distance in Å.
Fractional coordinates of all 4 atoms:
Tb 0.0000 0.0000 0.0000  8 Tb 3.37-3.49, 4 Hf 3.43-3.59
Tb 0.1042 0.3446 0.7596  3 Hf 3.33-3.49, 9 Tb 3.37-3.52
Tb 0.5850 0.3446 0.2404  3 Hf 3.33-3.49, 9 Tb 3.37-3.52
Hf 0.5148 0.0148 0.5000  10 Tb 3.33-3.59, 2 Hf 3.49

Results
Its total moment is 0.00 μB/f.u. Its space group is No. 44. The density of states at the Fermi level comes out at 7.33 states/eV/cell.


Which of them is most stable? Easy: version ii.


Version i
The following is a DFT calculation (PBE) of a relaxed TbHfTc crystal.

Lattice parameters (Å, degrees): 6.3295 6.3295 6.3295 149.03 149.03 44.36
Last column: nearest neighbours and their distance in Å.
Fractional coordinates of all 3 atoms:
Tb 0.0000 0.0000 0.0000  4 Tc 3.03, 1 Hf 3.19, 4 Tb 3.38
Hf 0.2723 0.2723 0.0000  4 Tc 2.73
Tc 0.6591 0.6591 0.0000  4 Hf 2.73, 4 Tb 3.03

Results
Its total moment is 0.00 μB/f.u. Its space group is No. 107. The density of states at the Fermi level comes out at 1.38 states/eV/cell.


Version ii
The following is a DFT calculation (PBE) of a relaxed TbHfTc crystal.

Lattice parameters (Å, degrees): 7.2558 7.2558 4.3374 90.00 90.00 120.00
Last column: nearest neighbours and their distance in Å.
Fractional coordinates of all 9 atoms:
Tb 0.0000 0.4195 0.0000  5 Tc 3.04-3.07, 2 Hf 3.24
Tb 0.4195 0.0000 0.0000  5 Tc 3.04-3.07, 2 Hf 3.24
Tb 0.5805 0.5805 0.0000  5 Tc 3.04-3.07, 2 Hf 3.24
Hf 0.0000 0.7508 0.5000  4 Tc 2.77-2.82
Hf 0.2492 0.2492 0.5000  4 Tc 2.77-2.82
Hf 0.7508 0.0000 0.5000  4 Tc 2.77-2.82
Tc 0.0000 0.0000 0.0000  6 Hf 2.82, 3 Tb 3.04
Tc 0.3333 0.6667 0.5000  3 Hf 2.77, 6 Tb 3.07
Tc 0.6667 0.3333 0.5000  3 Hf 2.77, 6 Tb 3.07

Results
Its total moment is 0.00 μB/f.u. Its space group is No. 189. The density of states at the Fermi level comes out at 4.86 states/eV/cell.


Which of them is most stable? Easy: version i.


Version i
The following is a DFT calculation (PBE) of a relaxed TbHfTe4 crystal.

Lattice parameters (Å, degrees): 7.2759 4.1245 7.9484 90.00 116.36 90.00
Last column: nearest neighbours and their distance in Å.
Fractional coordinates of all 6 atoms:
Tb 0.0000 0.0000 0.0000  6 Te 3.05-3.07
Hf 0.5000 0.5000 0.0000  6 Te 2.89-2.91
Te 0.2304 0.0000 0.7568  2 Hf 2.91, 1 Tb 3.07
Te 0.3094 0.5000 0.2515  1 Hf 2.89, 2 Tb 3.05
Te 0.6906 0.5000 0.7485  1 Hf 2.89, 2 Tb 3.05
Te 0.7696 0.0000 0.2432  2 Hf 2.91, 1 Tb 3.07

Results
Its total moment is 0.00 μB/f.u. Its space group is No. 10. The density of states at the Fermi level comes out at 2.50 states/eV/cell.


Version ii
The following is a DFT calculation (PBE) of a relaxed TbHfTe4 crystal.

Lattice parameters (Å, degrees): 7.2569 7.3678 7.2984 90.00 92.39 90.00
Last column: nearest neighbours and their distance in Å.
Fractional coordinates of all 12 atoms:
Tb 0.0000 0.0000 0.0000  6 Te 3.05-3.20
Tb 0.0000 0.5000 0.5000  6 Te 3.05-3.20
Hf 0.5000 0.0000 0.5000  6 Te 2.85-2.95
Hf 0.5000 0.5000 0.0000  6 Te 2.85-2.95
Te 0.1443 0.1302 0.3856  1 Hf 2.85, 2 Tb 3.05-3.11
Te 0.1443 0.3698 0.8856  1 Hf 2.85, 2 Tb 3.05-3.11
Te 0.3718 0.6526 0.3379  2 Hf 2.90-2.95, 1 Tb 3.20
Te 0.3718 0.8474 0.8379  2 Hf 2.90-2.95, 1 Tb 3.20
Te 0.6282 0.1526 0.1621  2 Hf 2.90-2.95, 1 Tb 3.20
Te 0.6282 0.3474 0.6621  2 Hf 2.90-2.95, 1 Tb 3.20
Te 0.8557 0.6302 0.1144  1 Hf 2.85, 2 Tb 3.05-3.11
Te 0.8557 0.8698 0.6144  1 Hf 2.85, 2 Tb 3.05-3.11

Results
Its total moment is 0.00 μB/f.u. Its space group is No. 14. The density of states at the Fermi level comes out at 8.12 states/eV/cell.


Which of them is most stable? Easy: version i.


Version i
The following is a DFT calculation (PBE) of a relaxed TbHfTh2 crystal.

Lattice parameters (Å, degrees): 12.3755 12.3755 12.3755 15.63 15.63 15.63
Last column: nearest neighbours and their distance in Å.
Fractional coordinates of all 4 atoms:
Tb 0.0000 0.0000 0.0000  6 Tb 3.36, 6 Th 3.63
Hf 0.5000 0.5000 0.5000  2 Th 3.04, 6 Hf 3.36
Th 0.4170 0.4170 0.4170  1 Hf 3.04, 6 Th 3.36
Th 0.5830 0.5830 0.5830  1 Hf 3.04, 6 Th 3.36

Results
Its total moment is 0.00 μB/f.u. Its space group is No. 166. The density of states at the Fermi level comes out at 6.85 states/eV/cell.


Version ii
The following is a DFT calculation (PBE) of a relaxed TbHfTh2 crystal.

Lattice parameters (Å, degrees): 3.4723 3.4723 9.8276 90.00 90.00 90.00
Last column: nearest neighbours and their distance in Å.
Fractional coordinates of all 4 atoms:
Tb 0.0000 0.0000 0.0000  4 Tb 3.47, 8 Th 3.59
Hf 0.0000 0.0000 0.5000  8 Th 3.36, 4 Hf 3.47
Th 0.5000 0.5000 0.2663  4 Hf 3.36, 4 Th 3.47, 4 Tb 3.59
Th 0.5000 0.5000 0.7337  4 Hf 3.36, 4 Th 3.47, 4 Tb 3.59

Results
Its total moment is 0.00 μB/f.u. Its space group is No. 123. The density of states at the Fermi level comes out at 5.87 states/eV/cell.


Version iii
The following is a DFT calculation (PBE) of a relaxed TbHfTh2 crystal.

Lattice parameters (Å, degrees): 11.4357 11.4357 11.4357 17.46 17.46 17.46
Last column: nearest neighbours and their distance in Å.
Fractional coordinates of all 4 atoms:
Tb 0.0000 0.0000 0.0000  6 Tb 3.47, 6 Th 3.51-3.61
Hf 0.1698 0.1698 0.1698  6 Th 3.32-3.39, 6 Hf 3.47
Th 0.5815 0.5815 0.5815  3 Hf 3.32, 6 Th 3.47, 3 Tb 3.51
Th 0.7555 0.7555 0.7555  3 Hf 3.39, 6 Th 3.47, 3 Tb 3.61

Results
Its total moment is 0.00 μB/f.u. Its space group is No. 160. The density of states at the Fermi level comes out at 6.44 states/eV/cell.


Version iv
The following is a DFT calculation (PBE) of a relaxed TbHfTh2 crystal.

Lattice parameters (Å, degrees): 5.4781 5.4781 5.4781 60.00 60.00 60.00
Last column: nearest neighbours and their distance in Å.
Fractional coordinates of all 4 atoms:
Tb 0.0000 0.0000 0.0000  8 Th 3.35
Hf 0.5000 0.5000 0.5000  8 Th 3.35
Th 0.2500 0.2500 0.2500  4 Hf 3.35, 4 Tb 3.35
Th 0.7500 0.7500 0.7500  4 Hf 3.35, 4 Tb 3.35

Results
Its total moment is 0.00 μB/f.u. Its space group is No. 225. The density of states at the Fermi level comes out at 5.63 states/eV/cell.


Which of them is most stable? Easy: version ii.


Version i
The following is a DFT calculation (PBE) of a relaxed Tb2HfTh crystal.

Lattice parameters (Å, degrees): 4.8127 4.8127 5.0081 90.00 90.00 90.00
Last column: nearest neighbours and their distance in Å.
Fractional coordinates of all 4 atoms:
Tb 0.0000 0.5000 0.0000  4 Tb 3.40, 4 Th 3.47, 4 Hf 3.47
Tb 0.5000 0.0000 0.0000  4 Tb 3.40, 4 Th 3.47, 4 Hf 3.47
Hf 0.0000 0.0000 0.5000  4 Th 3.40, 8 Tb 3.47
Th 0.5000 0.5000 0.5000  4 Hf 3.40, 8 Tb 3.47

Results
Its total moment is 0.00 μB/f.u. Its space group is No. 123. The density of states at the Fermi level comes out at 4.51 states/eV/cell.


Version ii
The following is a DFT calculation (PBE) of a relaxed Tb2HfTh crystal.

Lattice parameters (Å, degrees): 4.0420 4.0420 7.1536 90.00 90.00 90.00
Last column: nearest neighbours and their distance in Å.
Fractional coordinates of all 4 atoms:
Tb 0.0000 0.0000 0.2249  1 Tb 3.22, 4 Hf 3.28, 4 Th 3.47
Tb 0.0000 0.0000 0.7751  1 Tb 3.22, 4 Hf 3.28, 4 Th 3.47
Hf 0.5000 0.5000 0.0000  8 Tb 3.28, 2 Th 3.58
Th 0.5000 0.5000 0.5000  8 Tb 3.47, 2 Hf 3.58

Results
Its total moment is 0.00 μB/f.u. Its space group is No. 123. The density of states at the Fermi level comes out at 7.64 states/eV/cell.


Version iii
The following is a DFT calculation (PBE) of a relaxed Tb2HfTh crystal.

Lattice parameters (Å, degrees): 11.6211 11.6211 11.6211 16.98 16.98 16.98
Last column: nearest neighbours and their distance in Å.
Fractional coordinates of all 4 atoms:
Tb 0.0000 0.0000 0.0000  3 Hf 3.29, 6 Tb 3.43
Tb 0.1797 0.1797 0.1797  3 Hf 3.30, 6 Tb 3.43, 3 Th 3.64
Hf 0.5900 0.5900 0.5900  6 Tb 3.29-3.30, 6 Hf 3.43
Th 0.4242 0.4242 0.4242  6 Th 3.43, 6 Tb 3.64-3.70

Results
Its total moment is 0.00 μB/f.u. Its space group is No. 160. The density of states at the Fermi level comes out at 6.65 states/eV/cell.


Version iv
The following is a DFT calculation (PBE) of a relaxed Tb2HfTh crystal.

Lattice parameters (Å, degrees): 12.0767 12.0767 12.0767 16.14 16.14 16.14
Last column: nearest neighbours and their distance in Å.
Fractional coordinates of all 4 atoms:
Tb 0.0871 0.0871 0.0871  1 Hf 3.12, 6 Tb 3.39, 3 Th 3.45
Tb 0.9129 0.9129 0.9129  1 Hf 3.12, 6 Tb 3.39, 3 Th 3.45
Hf 0.0000 0.0000 0.0000  2 Tb 3.12, 6 Hf 3.39
Th 0.5000 0.5000 0.5000  6 Th 3.39, 6 Tb 3.45

Results
Its total moment is 0.00 μB/f.u. Its space group is No. 166. The density of states at the Fermi level comes out at 5.18 states/eV/cell.


Which of them is most stable? Easy: version i.


Version i
The following is a DFT calculation (PBE) of a relaxed TbHfTh crystal.

Lattice parameters (Å, degrees): 7.9414 7.9414 7.9414 155.53 155.53 34.88
Last column: nearest neighbours and their distance in Å.
Fractional coordinates of all 3 atoms:
Tb 0.0000 0.0000 0.0000  4 Hf 3.35, 4 Tb 3.37, 4 Th 3.70
Hf 0.3444 0.3444 0.0000  4 Tb 3.35, 4 Hf 3.37, 4 Th 3.37
Th 0.6867 0.6867 0.0000  4 Th 3.37, 4 Hf 3.37, 4 Tb 3.70

Results
Its total moment is 0.00 μB/f.u. Its space group is No. 107. The density of states at the Fermi level comes out at 3.93 states/eV/cell.


Version ii
The following is a DFT calculation (PBE) of a relaxed TbHfTh crystal.

Lattice parameters (Å, degrees): 5.3962 5.3962 3.4200 90.00 90.00 120.00
Last column: nearest neighbours and their distance in Å.
Fractional coordinates of all 3 atoms:
Tb 0.0000 0.0000 0.0000  3 Hf 3.12, 2 Tb 3.42
Hf 0.6667 0.3333 0.0000  3 Tb 3.12, 2 Hf 3.42
Th 0.3333 0.6667 0.5000  2 Th 3.42, 6 Tb 3.55, 6 Hf 3.55

Results
Its total moment is 0.00 μB/f.u. Its space group is No. 187. The density of states at the Fermi level comes out at 3.62 states/eV/cell.


Which of them is most stable? Easy: version i.